DFT (PBE) results for a relaxed structure of Nd5Sm4Sc.

Values from the calculation:
Density = 6.76 g/cm3
Energy relative to the lowest polymorph listed for this composition = 0 meV per atom
Energy relative to the elements = 0.03 eV/atom
Space-group type = P4/mmm, No. 123

a = 3.6503 Å, b = 3.6503 Å, c = 25.2177 Å
α = 90.00°, β = 90.00°, γ = 90.00°
Last column: nearest neighbours and their distance in Å.
Element x y z (fractional)
Nd  0.0000  0.0000  0.0000  4 Nd 3.65, 8 Sm 3.65
Nd  0.0000  0.0000  0.2051  4 Nd 3.65, 8 Sm 3.65
Nd  0.0000  0.0000  0.4095  4 Sc 3.45, 4 Sm 3.64, 4 Nd 3.65
Nd  0.0000  0.0000  0.5905  4 Sc 3.45, 4 Sm 3.64, 4 Nd 3.65
Nd  0.0000  0.0000  0.7949  4 Nd 3.65, 8 Sm 3.65
Sm  0.5000  0.5000  0.1025  4 Sm 3.65, 8 Nd 3.65
Sm  0.5000  0.5000  0.3075  8 Nd 3.64-3.65, 4 Sm 3.65
Sm  0.5000  0.5000  0.6925  8 Nd 3.64-3.65, 4 Sm 3.65
Sm  0.5000  0.5000  0.8975  4 Sm 3.65, 8 Nd 3.65
Sc  0.5000  0.5000  0.5000  8 Nd 3.45, 4 Sc 3.65